Compound: Mg2H2Ir5
Source: Alexandria
Functional: PBE
Structure: optimized geometry

## Properties
SG: No. 1
Crystal system: triclinic
Energy above the most stable polymorph in this dataset in meV/atom: 30.0
Total energy in eV/atom: -6.07

a = 7.559 Å, b = 3.952 Å, c = 4.847 Å
α = 114.05°, β = 95.74°, γ = 58.59°
Positions (direct):
Mg 0.206 0.345 0.014
Mg 0.662 0.747 0.733
Ir 0.061 0.208 0.451
Ir 0.369 0.446 0.545
Ir 0.938 0.038 0.866
Ir 0.804 0.889 0.301
Ir 0.547 0.575 0.160
H 0.333 0.975 0.531
H 0.342 0.674 0.942

---

Compound: PmHg4H2
Source: Alexandria
Functional: PBE
Structure: optimized geometry

## Properties
SG: No. 65
Crystal system: orthorhombic
Total energy in eV/atom: -1.68

a = 3.370 Å, b = 4.751 Å, c = 8.851 Å
α = 105.57°, β = 90.00°, γ = 90.00°
Last column: magnetic moment on the atom in μB.
Positions (direct):
H 0.500 0.227 0.454  0.00
H 0.500 0.773 0.546  0.00
Hg 0.500 0.892 0.785  0.00
Hg 0.000 0.688 0.377  0.00
Hg 0.500 0.108 0.215  0.00
Hg 0.000 0.312 0.623  0.00
Pm 0.000 0.500 0.000  0.09

---

Compound: Ba2Pd2Au
Source: Alexandria
Functional: PBE
Structure: optimized geometry

## Properties
SG: No. 71
Crystal system: orthorhombic
Energy above the most stable polymorph in this dataset in meV/atom: 0.0
Total energy in eV/atom: -4.11

a = 4.924 Å, b = 5.843 Å, c = 6.108 Å
α = 118.58°, β = 113.77°, γ = 90.00°
Positions (direct):
Au 0.000 0.000 0.000
Pd 0.500 0.254 0.000
Pd 0.500 0.746 0.000
Ba 0.196 0.696 0.392
Ba 0.804 0.304 0.608

---

Compound: Na2AlCoAg
Source: Alexandria
Functional: PBE
Structure: optimized geometry

## Properties
SG: No. 123
Crystal system: tetragonal
Total energy in eV/atom: -2.64

a = 5.233 Å, b = 4.533 Å, c = 5.233 Å
α = 90.00°, β = 90.00°, γ = 90.00°
Last column: magnetic moment on the atom in μB.
Positions (direct):
Na 0.500 0.000 0.000  0.00
Na 0.000 0.000 0.500  -0.01
Al 0.000 0.500 0.000  -0.01
Co 0.000 0.000 0.000  1.01
Ag 0.500 0.500 0.500  0.01

---

no.,D(E_F) (states/eV/f.u.)
1,4.9
2,2.2
3,1.7
4,4.8